Entry 1:
Density functional theory data (GGA-PBE) for a relaxed MgCu2Pt3 crystal.

Summary:
Crystal system ... orthorhombic
Energy of formation from the pure elements ... -2.43 eV per formula unit
Total moment ... 0.0 μB per formula unit

Cell and atoms, written as POSCAR:
```
MgCu2Pt3
1.0
4.000 0.000 0.018
2.000 5.949 0.009
-0.033 0.000 7.324
Mg Cu Pt
2 4 6
direct
0.341 0.318 0.000
0.659 0.682 0.000
0.000 0.000 0.000
0.000 0.000 0.500
0.330 0.339 0.500
0.670 0.661 0.500
0.834 0.332 0.745
0.500 0.000 0.262
0.166 0.668 0.255
0.834 0.332 0.255
0.166 0.668 0.745
0.500 0.000 0.738
```

Entry 2:
Density functional theory data (GGA-PBE) for a relaxed Ac2FeSnPt6 crystal.

Summary:
Crystal system ... monoclinic
Energy of formation from the pure elements ... -7.22 eV per formula unit
Total moment ... 3.0 μB per formula unit

Cell and atoms, written as POSCAR:
```
Ac2FeSnPt6
1.0
-3.533 2.767 3.348
-6.237 -5.892 -1.711
-3.605 -4.168 4.324
Ac Fe Sn Pt
2 1 1 6
direct
0.743 0.203 0.515
0.257 0.797 0.485
0.000 0.000 0.000
0.500 0.500 0.000
0.246 0.391 0.508
0.748 0.751 0.013
0.239 0.751 0.013
0.761 0.249 0.987
0.252 0.249 0.987
0.754 0.609 0.492
```

Entry 3:
Density functional theory data (GGA-PBE) for a relaxed DyTm2H crystal.

Summary:
ΔE to the lowest computed polymorph ... 0 meV/atom
Crystal system ... trigonal
Total moment ... 0.0 μB per formula unit

Cell and atoms, written as POSCAR:
```
DyTm2H
1.0
-2.797 -0.197 -2.170
-2.863 -1.858 0.961
-5.129 6.153 3.156
H Tm Dy
1 2 1
direct
0.000 0.000 0.000
0.280 0.280 0.161
0.720 0.720 0.839
0.500 0.500 0.500
```